This record from the Alexandria database describes a geometry-optimized YMoAu2 structure. The functional is PBEsol.

Results
For the raw total energy, the calculation gives -6.385 eV per atom. The density of states at the Fermi level comes out at 0.967 states/eV per atom. For the energy above the most stable polymorph in this dataset, the calculation gives 7.29 kcal/mol of atoms. Its crystal system is trigonal. The formation energy comes out at 224 meV per atom. The symmetry is R-3m (166).

Structure (extended XYZ):
```
4
Lattice="1.478 0.854 9.659 -1.478 0.854 9.659 0.000 -1.707 9.659" Properties=species:S:1:pos:R:3 pbc="T T T"
Y 0.000 0.000 0.000
Mo 0.000 0.000 14.489
Au 0.000 0.000 7.085
Au 0.000 0.000 21.893
```